Below is crystalline RbTmB4 at its relaxed geometry, with properties calculated at the GGA-PBE level. Values from VASP.

Output
- calculated density (g/cm3) = 5.1
- energy above the lowest structure with this stoichiometry (eV per atom) = 0.2035
- calculated total energy (eV per atom) = -5.13

```
&SYSTEM
  ibrav = 0, nat = 6, ntyp = 3
/
ATOMIC_SPECIES
Rb 85.47 Rb.upf
Tm 168.93 Tm.upf
B 10.81 B.upf
ATOMIC_POSITIONS crystal
Rb 0.0000 0.0000 0.0000
Tm 0.5000 0.0000 0.5000
B 0.0218 0.2647 0.7571
B 0.4925 0.7353 0.7571
B 0.5075 0.2647 0.2429
B 0.9782 0.7353 0.2429
CELL_PARAMETERS angstrom
-1.5615 3.9341 3.9517
1.5615 -3.9341 3.9517
1.5615 3.9341 -3.9517
```